[1]
Entry from the Alexandria database: a crystal of ThB4W relaxed with PBEsol (meta-GGA SCAN).

## Properties
ρ, g/cm3: 11.4
Space group: Cmmm (65)
Total magnetization, μB per formula unit: 0.00
Calculated formation energy, meV per atom: -516

a = 6.092 Å, b = 6.092 Å, c = 3.720 Å
α = 90.00°, β = 90.00°, γ = 104.19°
Fractional coordinates of all 12 atoms:
Th1 0.198 0.802 0.000
Th2 0.802 0.198 0.000
B1 0.122 0.435 0.500
B2 0.128 0.128 0.500
B3 0.410 0.590 0.500
B4 0.435 0.122 0.500
B5 0.565 0.878 0.500
B6 0.590 0.410 0.500
B7 0.872 0.872 0.500
B8 0.878 0.565 0.500
W1 0.328 0.328 0.000
W2 0.672 0.672 0.000

---

[2]
Entry from the Alexandria database: a crystal of HgPb2Cl relaxed with PBEsol (meta-GGA SCAN).

## Properties
ρ, g/cm3: 10.5
Space group: F-43m (216)
Uncorrected formation energy, eV per atom: -0.163
Energy above the lowest structure with this stoichiometry, kcal/mol of atoms: 4.48
Total magnetization, μB per formula unit: 0.00

a = 5.261 Å, b = 5.261 Å, c = 5.261 Å
α = 60.00°, β = 60.00°, γ = 60.00°
Fractional coordinates of all 4 atoms:
Hg1 0.000 0.000 0.000
Pb1 0.250 0.250 0.250
Pb2 0.500 0.500 0.500
Cl1 0.750 0.750 0.750

---

Fermi-level density of states across the listed records, respectively: 0.308, 0.689 states/eV/atom.